# KIn4Hg2

A relaxed structure of KIn4Hg2 (PBE, the Alexandria database).

Properties
uncorrected energy: -27.0 eV/cell
crystal system: orthorhombic

```
data_KIn4Hg2
_chemical_formula_sum 'K2 In8 Hg4'
_cell_length_a 4.6398
_cell_length_b 18.8032
_cell_length_c 4.7512
_cell_angle_alpha 90.00
_cell_angle_beta 90.00
_cell_angle_gamma 90.00
_symmetry_space_group_name_H-M 'C m m m'
_symmetry_Int_Tables_number 65
_symmetry_space_group_name_Hall '-C 2 2'
loop_
_atom_site_label
_atom_site_type_symbol
_atom_site_fract_x
_atom_site_fract_y
_atom_site_fract_z
K1 K 0.0000 0.0000 0.0000
In1 In 0.0000 0.1885 0.5000
In2 In 0.0000 0.3143 0.0000
Hg1 Hg 0.0000 0.4216 0.5000
```

***

# La3Ce2ErTe6

A relaxed structure of La3Ce2ErTe6 (PBE, the Alexandria database).

Properties
crystal system: monoclinic
formation energy (no corrections): -1.46 eV/atom

```
data_La3Ce2ErTe6
_chemical_formula_sum 'La6 Ce4 Er2 Te12'
_cell_length_a 7.7679
_cell_length_b 13.4853
_cell_length_c 7.8641
_cell_angle_alpha 90.00
_cell_angle_beta 109.33
_cell_angle_gamma 90.00
_symmetry_space_group_name_H-M 'C 1 2/m 1'
_symmetry_Int_Tables_number 12
_symmetry_space_group_name_Hall '-C 2y'
loop_
_atom_site_label
_atom_site_type_symbol
_atom_site_fract_x
_atom_site_fract_y
_atom_site_fract_z
La1 La 0.0000 0.0000 0.0000
La2 La 0.0000 0.3295 0.0000
Ce1 Ce 0.0000 0.1657 0.5000
Er1 Er 0.0000 0.5000 0.5000
Te1 Te 0.2414 0.3373 0.7379
Te2 Te 0.2436 0.5000 0.2575
```

***

# Tb2SnPd

A relaxed structure of Tb2SnPd (PBE, the Alexandria database).

Properties
uncorrected energy: -62.5 eV/cell
crystal system: trigonal

```
data_Tb2SnPd
_chemical_formula_sum 'Tb6 Sn3 Pd3'
_cell_length_a 3.8879
_cell_length_b 3.8879
_cell_length_c 24.7214
_cell_angle_alpha 90.00
_cell_angle_beta 90.00
_cell_angle_gamma 120.00
_symmetry_space_group_name_H-M 'R -3 m'
_symmetry_Int_Tables_number 166
_symmetry_space_group_name_Hall '-R 3 2"'
loop_
_atom_site_label
_atom_site_type_symbol
_atom_site_fract_x
_atom_site_fract_y
_atom_site_fract_z
Tb1 Tb 0.0000 0.0000 0.2385
Sn1 Sn 0.0000 0.0000 0.0000
Pd1 Pd 0.0000 0.0000 0.5000
```

***

# Ca2TiP4

A relaxed structure of Ca2TiP4 (PBE, the Alexandria database).

Properties
uncorrected energy: -74.5 eV/cell
crystal system: tetragonal

```
data_Ca2TiP4
_chemical_formula_sum 'Ca4 Ti2 P8'
_cell_length_a 4.7041
_cell_length_b 4.7041
_cell_length_c 14.3185
_cell_angle_alpha 90.00
_cell_angle_beta 90.00
_cell_angle_gamma 90.00
_symmetry_space_group_name_H-M 'I 4/m m m'
_symmetry_Int_Tables_number 139
_symmetry_space_group_name_Hall '-I 4 2'
loop_
_atom_site_label
_atom_site_type_symbol
_atom_site_fract_x
_atom_site_fract_y
_atom_site_fract_z
Ca1 Ca 0.0000 0.0000 0.1348
Ti1 Ti 0.0000 0.0000 0.5000
P1 P 0.0000 0.0000 0.3311
P2 P 0.0000 0.5000 0.0000
```

***

# MgSc4Os3

A relaxed structure of MgSc4Os3 (PBE, the Alexandria database).

Properties
uncorrected energy: -63.4 eV/cell
crystal system: tetragonal

```
data_MgSc4Os3
_chemical_formula_sum 'Mg1 Sc4 Os3'
_cell_length_a 4.5950
_cell_length_b 4.5950
_cell_length_c 6.6804
_cell_angle_alpha 90.00
_cell_angle_beta 90.00
_cell_angle_gamma 90.00
_symmetry_space_group_name_H-M 'P 4/m m m'
_symmetry_Int_Tables_number 123
_symmetry_space_group_name_Hall '-P 4 2'
loop_
_atom_site_label
_atom_site_type_symbol
_atom_site_fract_x
_atom_site_fract_y
_atom_site_fract_z
Mg1 Mg 0.0000 0.0000 0.0000
Sc1 Sc 0.0000 0.5000 0.2680
Os1 Os 0.0000 0.0000 0.5000
Os2 Os 0.5000 0.5000 0.0000
Os3 Os 0.5000 0.5000 0.5000
```

***

# CrTeP2

A relaxed structure of CrTeP2 (PBE, the Alexandria database).

Properties
crystal system: trigonal
formation energy (no corrections): 0.21 eV/atom

```
data_CrTeP2
_chemical_formula_sum 'Cr1 Te1 P2'
_cell_length_a 3.7538
_cell_length_b 3.7538
_cell_length_c 6.2058
_cell_angle_alpha 90.00
_cell_angle_beta 90.00
_cell_angle_gamma 120.00
_symmetry_space_group_name_H-M 'P -3 m 1'
_symmetry_Int_Tables_number 164
_symmetry_space_group_name_Hall '-P 3 2"'
loop_
_atom_site_label
_atom_site_type_symbol
_atom_site_fract_x
_atom_site_fract_y
_atom_site_fract_z
Cr1 Cr 0.0000 0.0000 0.0000
Te1 Te 0.0000 0.0000 0.5000
P1 P 0.3333 0.6667 0.8203
```

***

Number 3 is which compound? Tb2SnPd